This record from Alexandria describes crystalline AcBeBi at its relaxed geometry. The functional is PBE-GGA.

Output
- calculated formation energy (meV per atom) = 81
- V (Å³/atom) = 27.552
- electronic total energy (eV per formula unit) = -11.47

abc: 3.751 3.751 6.445
angles: 106.92 106.92 90.00
Positions (direct):
Be 0.307 0.307 0.615
Bi 0.704 0.704 0.409
Ac 0.988 0.988 0.977



This record from Alexandria describes crystalline AcBeBi2 at its relaxed geometry. The functional is PBE-GGA.

Output
- calculated formation energy (meV per atom) = 52
- V (Å³/atom) = 30.841
- electronic total energy (eV per formula unit) = -15.39

abc: 4.538 4.538 7.396
angles: 72.13 72.13 60.00
Positions (direct):
Be 0.000 0.000 0.000
Bi 0.726 0.726 0.822
Bi 0.274 0.274 0.178
Ac 0.500 0.500 0.500



This record from Alexandria describes crystalline AcBeBi2 at its relaxed geometry. The functional is PBE-GGA.

Output
- calculated formation energy (meV per atom) = -34
- V (Å³/atom) = 29.103
- electronic total energy (eV per formula unit) = -15.73

abc: 4.866 4.891 4.891
angles: 90.00 90.00 90.00
Positions (direct):
Be 0.500 0.000 0.000
Ac 0.500 0.500 0.500
Bi 0.000 0.500 0.000
Bi 0.000 0.000 0.500



This record from Alexandria describes crystalline AcBe2Bi2O7 at its relaxed geometry. The functional is PBE-GGA.

Output
- V (Å³/atom) = 15.289
- electronic total energy (eV per formula unit) = -78.23

abc: 5.282 5.282 8.183
angles: 71.17 71.17 60.00
Positions (direct):
O 0.186 0.928 0.288
O 0.814 0.402 0.712
O 0.072 0.814 0.712
O 0.928 0.598 0.288
O 0.598 0.186 0.288
O 0.402 0.072 0.712
O 0.000 0.000 0.000
Bi 0.286 0.286 0.141
Bi 0.714 0.714 0.859
Be 0.072 0.072 0.784
Be 0.928 0.928 0.216
Ac 0.500 0.500 0.500



This record from Alexandria describes crystalline Ac2BeBiO6 at its relaxed geometry. The functional is PBE-GGA.

Output
- V (Å³/atom) = 14.013
- electronic total energy (eV per formula unit) = -68.72

abc: 5.767 5.600 6.057
angles: 117.53 121.51 90.00
Positions (direct):
O 0.229 0.180 0.901
O 0.663 0.246 0.492
O 0.337 0.754 0.508
O 0.771 0.820 0.099
O 0.771 0.280 0.099
O 0.229 0.720 0.901
Be 0.500 0.000 0.000
Ac 0.759 0.740 0.480
Ac 0.241 0.260 0.520
Bi 0.000 0.500 0.000



This record from Alexandria describes crystalline AcBe4Bi3O12 at its relaxed geometry. The functional is PBE-GGA.

Output
- V (Å³/atom) = 13.566
- electronic total energy (eV per formula unit) = -127.83

abc: 6.719 6.719 6.719
angles: 103.86 103.86 103.86
Positions (direct):
O 0.022 0.637 0.797
O 0.500 0.098 0.902
O 0.902 0.500 0.098
O 0.500 0.353 0.647
O 0.203 0.363 0.978
O 0.797 0.022 0.637
O 0.353 0.647 0.500
O 0.363 0.978 0.203
O 0.098 0.902 0.500
O 0.978 0.203 0.363
O 0.647 0.500 0.353
O 0.637 0.797 0.022
Be 0.949 0.051 0.500
Be 0.051 0.500 0.949
Be 0.500 0.949 0.051
Be 0.500 0.500 0.500
Bi 0.456 0.000 0.544
Bi 0.544 0.456 0.000
Bi 0.000 0.544 0.456
Ac 0.000 0.000 0.000



This record from Alexandria describes crystalline AcBe2Bi2O6 at its relaxed geometry. The functional is PBE-GGA.

Output
- V (Å³/atom) = 18.213
- electronic total energy (eV per formula unit) = -71.64

abc: 5.269 5.269 8.331
angles: 90.00 90.00 120.00
Positions (direct):
Be 0.333 0.667 0.803
Be 0.667 0.333 0.197
O 0.391 0.025 0.189
O 0.634 0.609 0.189
O 0.975 0.366 0.189
O 0.025 0.634 0.811
O 0.366 0.391 0.811
O 0.609 0.975 0.811
Bi 0.333 0.667 0.337
Bi 0.667 0.333 0.663
Ac 0.000 0.000 0.000



This record from Alexandria describes crystalline AcBeBi2O8 at its relaxed geometry. The functional is PBE-GGA.

Output
- V (Å³/atom) = 14.587
- electronic total energy (eV per formula unit) = -71.24

abc: 5.499 4.817 6.749
angles: 93.48 82.00 82.68
Positions (direct):
O 0.718 0.633 0.967
O 0.282 0.367 0.033
O 0.268 0.427 0.510
O 0.829 0.120 0.187
O 0.171 0.880 0.813
O 0.658 0.116 0.751
O 0.732 0.573 0.490
O 0.342 0.884 0.249
Bi 0.466 0.530 0.765
Bi 0.534 0.470 0.235
Ac 0.000 0.000 0.500
Be 0.000 0.000 0.000